! Ga3NiPt | Alexandria via LeMat-Bulk | SCAN | PBEsol geometry; values from VASP
&SYSTEM
  ibrav = 0, nat = 5, ntyp = 3
/
ATOMIC_SPECIES
Ga 69.72 Ga.upf
Ni 58.69 Ni.upf
Pt 195.08 Pt.upf
CELL_PARAMETERS angstrom
4.703 0.000 0.000
0.000 4.703 0.000
0.000 0.000 4.703
ATOMIC_POSITIONS crystal
Ga 0.000 0.000 0.500
Ga 0.000 0.500 0.000
Ga 0.500 0.000 0.000
Ni 0.500 0.500 0.500
Pt 0.000 0.000 0.000
! - SG: Pm-3m, No. 221
! - Total magnetic moment: 0.6 μB/f.u.
! - E above lowest polymorph: 0.200 eV per atom
! - Raw total energy: -1.9689 Ry/atom
! - Formation enthalpy at 0 K: 28 kJ/mol of atoms